TaBeMo2 | PBE | relaxed

Results
DFT total energy = -9.19 eV per atom
DOS(E_F) = 0.719 states/eV per atom

Structure (CIF):
```
data_TaBeMo2
_chemical_formula_sum 'Ta1 Be1 Mo2'
_space_group_name_H-M_alt 'P 1'
_space_group_IT_number 1
_space_group_name_Hall 'P 1'
_cell_length_a 4.384
_cell_length_b 2.733
_cell_length_c 5.163
_cell_angle_alpha 80.22
_cell_angle_beta 90.00
_cell_angle_gamma 90.00
loop_
_atom_site_label
_atom_site_fract_x
_atom_site_fract_y
_atom_site_fract_z
Be1 0.500 0.812 0.748
Mo1 0.000 0.976 0.005
Mo2 0.500 0.218 0.237
Ta1 0.000 0.494 0.511
```

=====

TaBeMo2 | PBE | relaxed

Results
DFT total energy = -9.31 eV per atom
DOS(E_F) = 0.458 states/eV per atom

Structure (CIF):
```
data_TaBeMo2
_chemical_formula_sum 'Ta1 Be1 Mo2'
_space_group_name_H-M_alt 'P 1'
_space_group_IT_number 1
_space_group_name_Hall 'P 1'
_cell_length_a 3.198
_cell_length_b 3.198
_cell_length_c 5.804
_cell_angle_alpha 90.00
_cell_angle_beta 90.00
_cell_angle_gamma 90.00
loop_
_atom_site_label
_atom_site_fract_x
_atom_site_fract_y
_atom_site_fract_z
Be1 0.500 0.500 0.762
Mo1 0.000 0.000 0.978
Mo2 0.500 0.500 0.241
Ta1 0.000 0.000 0.520
```

=====

TaBe2Mo | PBE | relaxed

Results
DFT total energy = -7.47 eV per atom
DOS(E_F) = 0.590 states/eV per atom

Structure (CIF):
```
data_TaBe2Mo
_chemical_formula_sum 'Ta1 Be2 Mo1'
_space_group_name_H-M_alt 'P 1'
_space_group_IT_number 1
_space_group_name_Hall 'P 1'
_cell_length_a 2.719
_cell_length_b 2.719
_cell_length_c 6.974
_cell_angle_alpha 90.00
_cell_angle_beta 90.00
_cell_angle_gamma 90.00
loop_
_atom_site_label
_atom_site_fract_x
_atom_site_fract_y
_atom_site_fract_z
Be1 0.000 0.000 0.007
Be2 0.000 0.000 0.493
Mo1 0.500 0.500 0.250
Ta1 0.500 0.500 0.750
```

=====

TaBeMo2 | PBE | relaxed

Results
DFT total energy = -9.13 eV per atom
DOS(E_F) = 0.805 states/eV per atom

Structure (CIF):
```
data_TaBeMo2
_chemical_formula_sum 'Ta1 Be1 Mo2'
_space_group_name_H-M_alt 'P 1'
_space_group_IT_number 1
_space_group_name_Hall 'P 1'
_cell_length_a 5.094
_cell_length_b 5.094
_cell_length_c 5.094
_cell_angle_alpha 137.08
_cell_angle_beta 137.08
_cell_angle_gamma 62.32
loop_
_atom_site_label
_atom_site_fract_x
_atom_site_fract_y
_atom_site_fract_z
Be1 0.750 0.250 0.500
Mo1 0.000 0.000 0.000
Mo2 0.500 0.500 0.000
Ta1 0.250 0.750 0.500
```